Material: CdHgPd
Method: DFT, PBE
State: relaxed

abc: 6.4666 6.4666 6.4666
angles: 90.00 90.00 90.00
Space group F-43m (No. 216)
Unique sites:
1 Cd 0.0000 0.0000 0.0000 (multiplicity 4)
2 Hg 0.0000 0.0000 0.5000 (multiplicity 4)
3 Pd 0.2500 0.2500 0.7500 (multiplicity 4)

Summary:
formation energy from the elements: -0.132 eV per atom
total magnetic moment: 0.0 μB/f.u.
total DFT energy (no corrections): -27.23 eV/cell

---

Material: BaRe2P
Method: DFT, PBE
State: relaxed

abc: 3.0755 3.0755 28.4190
angles: 90.00 90.00 120.00
Space group R3m (No. 160, hexagonal axes)
Unique sites:
1 Ba 0.0000 0.0000 0.0000 (multiplicity 3)
2 Re 0.0000 0.0000 0.2320 (multiplicity 3)
3 Re 0.0000 0.0000 0.4924 (multiplicity 3)
4 P 0.0000 0.0000 0.7685 (multiplicity 3)

Summary:
formation energy from the elements: 0.608 eV per atom
total magnetic moment: 0.0 μB/f.u.
total DFT energy (no corrections): -89.39 eV/cell

---

Material: BaBeTl2
Method: DFT, PBE
State: relaxed

abc: 4.3637 4.5570 6.6239
angles: 90.00 109.02 90.00
Space group Pm (No. 6)
Unique sites:
1 Ba 0.0000 0.0000 0.0000 (multiplicity 1)
2 Be 0.6583 0.5000 0.3179 (multiplicity 1)
3 Tl 0.3121 0.5000 0.6297 (multiplicity 1)
4 Tl 0.7136 0.0000 0.4323 (multiplicity 1)

Summary:
formation energy from the elements: 0.128 eV per atom
total magnetic moment: 0.0 μB/f.u.
total DFT energy (no corrections): -9.87 eV/cell

---

Material: RbCu2S
Method: DFT, PBE
State: relaxed

abc: 5.1107 5.1107 15.6164
angles: 90.00 90.00 90.00
Space group I4_1/amd (No. 141, origin choice 2)
Unique sites:
1 Rb 0.0000 0.2500 0.3750 (multiplicity 4)
2 Cu 0.0000 0.0000 0.0000 (multiplicity 8)
3 S 0.0000 0.2500 0.8750 (multiplicity 4)

Summary:
formation energy (no corrections): -11 kJ per mole of atoms
total magnetic moment: 0.0 μB/f.u.
total DFT energy (no corrections): -54.96 eV/cell

---

Material: Ba2Hg5Sb
Method: DFT, PBE
State: relaxed

abc: 5.2640 19.0447 10.1302
angles: 90.00 90.00 90.00
Space group Cmcm (No. 63)
Unique sites:
1 Ba 0.0000 0.0000 0.0000 (multiplicity 4)
2 Ba 0.0000 0.2103 0.2500 (multiplicity 4)
3 Hg 0.0000 0.1829 0.6030 (multiplicity 8)
4 Hg 0.0000 0.3435 0.5295 (multiplicity 8)
5 Hg 0.0000 0.4009 0.2500 (multiplicity 4)
6 Sb 0.0000 0.4467 0.7500 (multiplicity 4)

Summary:
formation energy (no corrections): -46 kJ per mole of atoms
total magnetic moment: 0.0 μB/f.u.
total DFT energy (no corrections): -53.31 eV/cell

---

Material: InCoRu2N
Method: DFT, PBE
State: relaxed

abc: 4.1097 4.1097 3.8420
angles: 90.00 90.00 90.00
Space group P4/mmm (No. 123)
Unique sites:
1 In 0.0000 0.0000 0.0000 (multiplicity 1)
2 Co 0.5000 0.5000 0.0000 (multiplicity 1)
3 Ru 0.0000 0.5000 0.5000 (multiplicity 2)
4 N 0.5000 0.5000 0.5000 (multiplicity 1)

Summary:
formation energy (no corrections): 8 kJ per mole of atoms
total magnetic moment: 0.3 μB/f.u.
total DFT energy (no corrections): -36.32 eV/cell

---

Material: Nb2ZnTeAu
Method: DFT, PBE
State: relaxed

abc: 5.0932 5.0932 5.4139
angles: 90.00 90.00 90.00
Space group P4/mmm (No. 123)
Unique sites:
1 Nb 0.0000 0.5000 0.0000 (multiplicity 2)
2 Zn 0.0000 0.0000 0.5000 (multiplicity 1)
3 Te 0.5000 0.5000 0.5000 (multiplicity 1)
4 Au 0.5000 0.5000 0.0000 (multiplicity 1)

Summary:
formation energy (no corrections): 139 kJ per mole of atoms
total magnetic moment: 2.7 μB/f.u.
total DFT energy (no corrections): -20.61 eV/cell

---

Material: Ac5CdSn2
Method: DFT, PBE
State: relaxed

abc: 6.2297 10.3841 18.7767
angles: 90.00 90.00 90.00
Space group Cmcm (No. 63)
Unique sites:
1 Ac 0.0000 0.0828 0.0827 (multiplicity 8)
2 Ac 0.0000 0.2223 0.7500 (multiplicity 4)
3 Ac 0.0000 0.4139 0.1021 (multiplicity 8)
4 Cd 0.0000 0.1484 0.2500 (multiplicity 4)
5 Sn 0.0000 0.2566 0.5708 (multiplicity 8)

Summary:
formation energy from the elements: -0.294 eV per atom
total magnetic moment: 0.0 μB/f.u.
total DFT energy (no corrections): -127.25 eV/cell

---

Material: Tl5Sn2S5
Method: DFT, PBE
State: relaxed

abc: 13.7479 4.6881 12.1717
angles: 90.00 110.42 90.00
Space group C2/m (No. 12)
Unique sites:
1 Tl 0.0000 0.0000 0.0000 (multiplicity 2)
2 Tl 0.1584 0.0000 0.5514 (multiplicity 4)
3 Tl 0.2394 0.0000 0.8528 (multiplicity 4)
4 Sn 0.0401 0.5000 0.2933 (multiplicity 4)
5 S 0.0000 0.5000 0.5000 (multiplicity 2)
6 S 0.1144 0.5000 0.8953 (multiplicity 4)
7 S 0.1286 0.0000 0.2889 (multiplicity 4)

Summary:
formation energy (no corrections): -31 kJ per mole of atoms
total magnetic moment: 0.0 μB/f.u.
total DFT energy (no corrections): -88.66 eV/cell

---

Material: TmNb4N6
Method: DFT, PBE
State: relaxed

abc: 3.1276 10.2964 15.7162
angles: 90.00 90.00 90.00
Space group Cmcm (No. 63)
Unique sites:
1 Tm 0.0000 0.1544 0.2500 (multiplicity 4)
2 Nb 0.0000 0.1005 0.6319 (multiplicity 8)
3 Nb 0.0000 0.3539 0.5421 (multiplicity 8)
4 N 0.0000 0.0000 0.0000 (multiplicity 4)
5 N 0.0000 0.1768 0.7500 (multiplicity 4)
6 N 0.0000 0.2648 0.0937 (multiplicity 8)
7 N 0.0000 0.4611 0.6610 (multiplicity 8)

Summary:
formation energy (no corrections): -109 kJ per mole of atoms
total magnetic moment: 0.0 μB/f.u.
total DFT energy (no corrections): -428.43 eV/cell

---

Material: Ca2InBiIr
Method: DFT, PBE
State: relaxed

abc: 5.5439 5.5439 5.1504
angles: 90.00 90.00 90.00
Space group P4/mmm (No. 123)
Unique sites:
1 Ca 0.0000 0.5000 0.0000 (multiplicity 2)
2 In 0.0000 0.0000 0.5000 (multiplicity 1)
3 Bi 0.5000 0.5000 0.5000 (multiplicity 1)
4 Ir 0.5000 0.5000 0.0000 (multiplicity 1)

Summary:
formation energy from the elements: -0.220 eV per atom
total magnetic moment: 0.0 μB/f.u.
total DFT energy (no corrections): -20.58 eV/cell

---

Material: Ag2PI
Method: DFT, PBE
State: relaxed

abc: 7.0493 7.0493 7.0493
angles: 90.00 90.00 90.00
Space group Fm-3m (No. 225)
Unique sites:
1 Ag 0.2500 0.2500 0.2500 (multiplicity 8)
2 P 0.0000 0.0000 0.0000 (multiplicity 4)
3 I 0.0000 0.0000 0.5000 (multiplicity 4)

Summary:
formation energy (no corrections): 66 kJ per mole of atoms
total magnetic moment: 0.0 μB/f.u.
total DFT energy (no corrections): -39.78 eV/cell